Record 1
Computed, not measured: a relaxed Pr5HoZn4 crystal at the PBE-GGA level of DFT.

Results
- VASP energy: -0.1319 Ha/atom
- ΔE_f: -0.23 eV per atom
- Theoretical density: 6.88 g cm⁻³
- Spin magnetization: 0.0 μB/cell

a = 3.7077 Å, b = 3.7077 Å, c = 19.8622 Å
α = 90.00°, β = 90.00°, γ = 90.00°
Fractional coordinates of all 10 atoms:
Pr (0.0000, 0.0000, 0.0000)
Pr (0.0000, 0.0000, 0.1867)
Pr (0.0000, 0.0000, 0.3731)
Pr (0.0000, 0.0000, 0.6269)
Pr (0.0000, 0.0000, 0.8133)
Ho (0.5000, 0.5000, 0.5000)
Zn (0.5000, 0.5000, 0.0938)
Zn (0.5000, 0.5000, 0.2812)
Zn (0.5000, 0.5000, 0.7188)
Zn (0.5000, 0.5000, 0.9062)

***

Record 2
Computed, not measured: a relaxed BeSb2Se crystal at the PBE-GGA level of DFT.

Results
- VASP energy: -0.1351 Ha/atom
- Offset from the most stable computed form: 1.07 eV per formula unit
- Theoretical density: 6.12 g cm⁻³
- Spin magnetization: 0.0 μB/cell

a = 5.6070 Å, b = 8.1958 Å, c = 3.9120 Å
α = 90.00°, β = 90.00°, γ = 90.00°
Fractional coordinates of all 8 atoms:
Be (0.0000, 0.0000, 0.0000)
Be (0.5000, 0.5000, 0.0000)
Sb (0.0000, 0.1993, 0.5000)
Sb (0.0000, 0.8007, 0.5000)
Sb (0.5000, 0.3007, 0.5000)
Sb (0.5000, 0.6993, 0.5000)
Se (0.0000, 0.5000, 0.0000)
Se (0.5000, 0.0000, 0.0000)

***

Record 3
Computed, not measured: a relaxed Pr4Nd2Er2Tm crystal at the PBE-GGA level of DFT.

Results
- VASP energy: -0.1716 Ha/atom
- ΔE_f: 0.03 eV per atom
- Theoretical density: 7.35 g cm⁻³
- Spin magnetization: 0.0 μB/cell

a = 8.1625 Å, b = 8.1625 Å, c = 8.0921 Å
α = 107.67°, β = 107.67°, γ = 36.86°
Fractional coordinates of all 9 atoms:
Pr (0.0546, 0.0546, 0.3294)
Pr (0.2783, 0.2783, 0.6708)
Pr (0.7217, 0.7217, 0.3292)
Pr (0.9454, 0.9454, 0.6706)
Nd (0.3883, 0.3883, 0.3288)
Nd (0.6117, 0.6117, 0.6712)
Er (0.1666, 0.1666, 0.9999)
Er (0.8334, 0.8334, 0.0001)
Tm (0.5000, 0.5000, 0.0000)

***

Record 4
Computed, not measured: a relaxed CrTePd2Pb crystal at the PBE-GGA level of DFT.

Results
- VASP energy: -0.1545 Ha/atom
- Theoretical density: 7.80 g cm⁻³
- Spin magnetization: 0.2 μB/cell

a = 5.0359 Å, b = 5.0359 Å, c = 5.0306 Å
α = 90.00°, β = 90.00°, γ = 90.00°
Fractional coordinates of all 5 atoms:
Cr (0.0000, 0.0000, 0.0000)
Te (0.5000, 0.5000, 0.0000)
Pd (0.0000, 0.5000, 0.5000)
Pd (0.5000, 0.0000, 0.5000)
Pb (0.0000, 0.0000, 0.5000)

***

Record 5
Computed, not measured: a relaxed K2NaCaF5 crystal at the PBE-GGA level of DFT.

Results
- VASP energy: -0.1730 Ha/atom
- Theoretical density: 2.28 g cm⁻³
- Spin magnetization: 0.1 μB/cell

a = 4.3814 Å, b = 4.3814 Å, c = 8.9617 Å
α = 90.00°, β = 90.00°, γ = 90.00°
Fractional coordinates of all 9 atoms:
K (0.0000, 0.0000, 0.2244)
K (0.0000, 0.0000, 0.7756)
Na (0.5000, 0.5000, 0.5000)
Ca (0.5000, 0.5000, 0.0000)
F (0.0000, 0.0000, 0.5000)
F (0.0000, 0.5000, 0.0000)
F (0.5000, 0.0000, 0.0000)
F (0.5000, 0.5000, 0.2543)
F (0.5000, 0.5000, 0.7457)

***

Record 6
Computed, not measured: a relaxed MoP2HCl crystal at the PBE-GGA level of DFT.

Results
- VASP energy: -0.1739 Ha/atom
- Offset from the most stable computed form: 0.00 eV per formula unit
- Theoretical density: 2.95 g cm⁻³
- Spin magnetization: 0.7 μB/cell

a = 4.6390 Å, b = 4.6390 Å, c = 5.0824 Å
α = 90.00°, β = 90.00°, γ = 90.00°
Fractional coordinates of all 5 atoms:
Mo (0.0000, 0.0000, 0.0000)
P (0.0000, 0.5000, 0.0000)
P (0.5000, 0.0000, 0.0000)
H (0.5000, 0.5000, 0.5000)
Cl (0.0000, 0.0000, 0.5000)

***

Question: Which of these has the lowest VASP energy?
Answer: MoP2HCl

***

Question: Which formula does entry 3 have?
Answer: Pr4Nd2Er2Tm

***

Question: Which formula does entry 5 have?
Answer: K2NaCaF5

***

Question: Look up the VASP energy of the sixth one.
Answer: -0.1739 Ha/atom